Material: AcLu3Fe
Method: DFT, GGA-PBE
State: optimized geometry

Cell and atoms, written as CIF:
```
data_AcLu3Fe
_chemical_formula_sum 'Ac1 Lu3 Fe1'
_space_group_name_H-M_alt 'P m -3 m'
_space_group_IT_number 221
_space_group_name_Hall '-P 4 2 3'
_cell_length_a 5.255
_cell_length_b 5.255
_cell_length_c 5.255
_cell_angle_alpha 90.00
_cell_angle_beta 90.00
_cell_angle_gamma 90.00
loop_
_atom_site_label
_atom_site_type_symbol
_atom_site_fract_x
_atom_site_fract_y
_atom_site_fract_z
_atom_site_occupancy
Ac1 Ac 0.000 0.000 0.000 1
Lu1 Lu 0.000 0.500 0.500 1
Fe1 Fe 0.500 0.500 0.500 1
```

Calculated values
M_tot in μB per formula unit: 0.002
Energy relative to the elements in eV per atom: 0.036